14
Lattice="5.120 -0.717 2.644 0.981 7.806 0.232 1.076 -0.334 6.866" Properties=species:S:1:pos:R:3 comment="Ta4NbRh2 | the Alexandria database | PBE | optimized geometry" e_form_ev_per_atom=0.090 total_magnetization_mub_per_cell=0.00 pbc="T T T"
Ta 5.400 0.434 8.347
Ta 4.195 4.467 4.424
Ta 2.832 0.906 7.139
Ta 3.674 0.246 4.300
Ta 3.224 3.877 7.219
Ta 1.623 4.980 3.132
Ta 5.812 3.630 8.445
Ta 1.061 0.455 3.003
Nb 3.692 6.418 2.165
Nb 1.073 6.785 0.747
Rh 2.334 2.535 4.965
Rh 5.070 2.172 5.780
Rh 2.781 2.559 2.448
Rh 4.929 6.143 6.414